(1)
Density functional theory data (PBE) for a relaxed TaPbBr2 crystal.

Lattice parameters (Å, degrees): 7.794 7.794 5.377 69.71 69.71 23.93
Last column: magnetic moment on the atom in μB.
Atoms (fractional coordinates):
1 Pb 0.750 0.750 0.750  0.03
2 Br 0.902 0.902 0.098  0.03
3 Br 0.598 0.598 0.402  0.03
4 Ta 0.250 0.250 0.250  0.43

Results
Energy   -4.791 eV/atom
Polymorph energy (0 for the lowest one)   0.47 eV per formula unit
ΔE_f (raw)   -0.26 eV per formula unit

***

(2)
Density functional theory data (PBE) for a relaxed LiCdPb2 crystal.

Lattice parameters (Å, degrees): 3.491 3.491 8.225 90.00 90.00 90.00
Atoms (fractional coordinates):
1 Pb 0.000 0.000 0.956
2 Pb 0.500 0.500 0.274
3 Li 0.500 0.500 0.726
4 Cd 0.000 0.000 0.545

Results
Energy   -2.667 eV/atom
ΔE_f   -105 meV/atom

***

(3)
Density functional theory data (PBE) for a relaxed Y2TiTc2 crystal.

Lattice parameters (Å, degrees): 4.263 4.263 6.938 72.11 72.11 90.00
Last column: magnetic moment on the atom in μB.
Atoms (fractional coordinates):
1 Y 0.750 0.250 0.500  0.08
2 Y 0.250 0.750 0.500  0.08
3 Tc 0.411 0.411 0.178  0.68
4 Tc 0.589 0.589 0.822  0.68
5 Ti 0.000 0.000 0.000  -0.62

Results
Energy   -7.567 eV/atom
ΔE_f   744 meV/atom

***

V, record by record: 123.9, 100.2, 113.5 Å³/f.u.